## KInRh2 (PBE)

Data for an optimized crystal structure of KInRh2.

- Spin magnetization: 0.00 μB per atom
- Raw total energy: -4.32 eV/atom
- Energy relative to the elements: 0.312 eV per atom

Lattice parameters (Å, degrees): 6.199 6.199 6.199 152.89 131.20 56.71
Fractional positions:
In: 0.463 0.463 0.000
K: 0.757 0.257 0.500
Rh: 0.040 0.040 0.000
Rh: 0.239 0.739 0.500